Below is crystalline Mn2AlH2 at its relaxed geometry, with properties calculated at the GGA-PBEsol level.

Cell and atoms, written as extended XYZ:
```
5
Lattice="2.856 0.000 0.000 0.000 2.856 0.000 -1.428 -1.428 4.823" Properties=species:S:1:pos:R:3 pbc="T T T"
H 0.000 1.428 2.411
H 1.428 0.000 2.411
Mn 0.000 0.000 3.309
Mn 1.428 1.428 1.514
Al 0.000 0.000 0.000
```

Below is crystalline MnAlHS2 at its relaxed geometry, with properties calculated at the GGA-PBEsol level.

Cell and atoms, written as extended XYZ:
```
5
Lattice="4.531 0.000 0.000 0.000 4.531 0.000 0.000 0.000 4.982" Properties=species:S:1:pos:R:3 pbc="T T T"
H 2.265 2.265 2.491
S 0.000 2.265 0.000
S 2.265 0.000 0.000
Mn 0.000 0.000 2.491
Al 0.000 0.000 0.000
```

Below is crystalline Ta2MnAlH at its relaxed geometry, with properties calculated at the GGA-PBEsol level.

Cell and atoms, written as extended XYZ:
```
5
Lattice="4.473 0.000 0.000 0.000 4.473 0.000 0.000 0.000 4.518" Properties=species:S:1:pos:R:3 pbc="T T T"
H 2.237 2.237 2.259
Mn 0.000 0.000 0.000
Al 0.000 0.000 2.259
Ta 0.000 2.237 0.000
Ta 2.237 0.000 0.000
```

Below is crystalline AlMo2H2 at its relaxed geometry, with properties calculated at the GGA-PBEsol level.

Cell and atoms, written as extended XYZ:
```
5
Lattice="3.126 0.000 0.000 0.000 3.126 0.000 -1.563 -1.563 5.144" Properties=species:S:1:pos:R:3 pbc="T T T"
H 0.000 1.563 2.572
H 1.563 0.000 2.572
Mo 0.000 0.000 3.552
Mo 1.563 1.563 1.592
Al 0.000 0.000 0.000
```

Below is crystalline AlSn2MoH at its relaxed geometry, with properties calculated at the GGA-PBEsol level.

Cell and atoms, written as extended XYZ:
```
5
Lattice="-1.875 -4.415 0.125 4.533 -1.885 1.434 -1.270 0.678 4.907" Properties=species:S:1:pos:R:3 pbc="T T T"
H 0.694 -2.811 3.233
Mo -0.938 -2.207 0.062
Sn -0.635 0.339 2.454
Sn 2.266 -0.942 0.717
Al 0.000 0.000 0.000
```

Below is crystalline AlHN2 at its relaxed geometry, with properties calculated at the GGA-PBEsol level.

Cell and atoms, written as extended XYZ:
```
4
Lattice="2.976 0.000 0.000 1.488 2.577 0.000 1.488 0.859 4.584" Properties=species:S:1:pos:R:3 pbc="T T T"
H 2.976 1.718 2.292
Al 0.000 0.000 0.000
N 4.464 2.577 2.036
N 1.488 0.859 2.548
```

Below is crystalline Al3HN at its relaxed geometry, with properties calculated at the GGA-PBEsol level.

Cell and atoms, written as extended XYZ:
```
5
Lattice="-2.909 0.886 2.560 -2.707 -0.803 -2.798 -0.107 -3.791 1.192" Properties=species:S:1:pos:R:3 pbc="T T T"
H -2.861 -1.854 0.477
Al -1.354 -0.402 -1.399
Al -0.053 -1.895 0.596
Al -1.454 0.443 1.280
N 0.000 0.000 0.000
```

Below is crystalline AlHN2O at its relaxed geometry, with properties calculated at the GGA-PBEsol level.

Cell and atoms, written as extended XYZ:
```
5
Lattice="-1.023 -1.030 -2.327 -0.495 -2.379 1.271 -4.286 1.535 1.206" Properties=species:S:1:pos:R:3 pbc="T T T"
H 0.000 0.000 0.000
Al -2.902 -0.937 0.075
O -2.143 0.768 0.603
N -0.247 -1.190 0.635
N -0.512 -0.515 -1.163
```

The evaluated energy for the records listed, in turn: -30.59 -21.41 -35.98 -34.67 -19.86 -18.65 -21.68 -27.22 eV/f.u..